Entry 1:
# Y5Lu3H12

Crystalline Y5Lu3H12 at its relaxed geometry (PBE, Alexandria).

Lattice parameters (Å, degrees): 11.209 11.209 11.209 109.47 109.47 109.47
Fractional coordinates of all 80 atoms:
1 Lu 0.125 0.250 0.875
2 Lu 0.125 0.875 0.750
3 Lu 0.250 0.125 0.375
4 Lu 0.375 0.750 0.625
5 Lu 0.250 0.625 0.875
6 Lu 0.625 0.375 0.750
7 Lu 0.375 0.625 0.250
8 Lu 0.750 0.375 0.125
9 Lu 0.875 0.125 0.250
10 Lu 0.750 0.875 0.625
11 Lu 0.625 0.250 0.375
12 Lu 0.875 0.750 0.125
13 Y 0.500 0.500 0.000
14 Y 0.875 0.625 0.750
15 Y 0.000 0.000 0.500
16 Y 0.375 0.125 0.750
17 Y 0.500 0.000 0.000
18 Y 0.125 0.750 0.375
19 Y 0.375 0.250 0.125
20 Y 0.500 0.500 0.500
21 Y 0.500 0.000 0.500
22 Y 0.625 0.875 0.250
23 Y 0.000 0.000 0.000
24 Y 0.875 0.250 0.625
25 Y 0.625 0.750 0.875
26 Y 0.125 0.375 0.250
27 Y 0.250 0.875 0.125
28 Y 0.250 0.375 0.625
29 Y 0.000 0.500 0.500
30 Y 0.750 0.625 0.375
31 Y 0.000 0.500 0.000
32 Y 0.750 0.125 0.875
33 H 0.224 0.567 0.659
34 H 0.276 0.841 0.933
35 H 0.659 0.592 0.935
36 H 0.659 0.067 0.224
37 H 0.908 0.844 0.567
38 H 0.092 0.935 0.159
39 H 0.344 0.567 0.408
40 H 0.276 0.435 0.844
41 H 0.724 0.565 0.156
42 H 0.908 0.065 0.841
43 H 0.841 0.565 0.908
44 H 0.565 0.724 0.656
45 H 0.844 0.908 0.067
46 H 0.092 0.156 0.433
47 H 0.067 0.659 0.724
48 H 0.933 0.341 0.276
49 H 0.433 0.656 0.092
50 H 0.341 0.933 0.776
51 H 0.344 0.776 0.435
52 H 0.065 0.908 0.341
53 H 0.935 0.092 0.659
54 H 0.841 0.276 0.433
55 H 0.935 0.844 0.776
56 H 0.067 0.408 0.844
57 H 0.565 0.841 0.408
58 H 0.435 0.159 0.592
59 H 0.159 0.435 0.092
60 H 0.156 0.065 0.724
61 H 0.224 0.656 0.065
62 H 0.592 0.933 0.656
63 H 0.592 0.659 0.435
64 H 0.776 0.433 0.341
65 H 0.844 0.935 0.276
66 H 0.567 0.224 0.159
67 H 0.724 0.159 0.067
68 H 0.159 0.724 0.567
69 H 0.408 0.067 0.344
70 H 0.433 0.776 0.841
71 H 0.435 0.276 0.344
72 H 0.408 0.341 0.565
73 H 0.567 0.344 0.908
74 H 0.656 0.433 0.592
75 H 0.776 0.344 0.935
76 H 0.156 0.092 0.933
77 H 0.341 0.408 0.065
78 H 0.933 0.592 0.156
79 H 0.065 0.156 0.224
80 H 0.656 0.224 0.565

Computed properties:
Electronic total energy (Ry per atom): -0.351
DOS at the Fermi energy (states/eV/cell): 34.08
Spin magnetization (μB per atom): 0.00

=====

Entry 2:
# NaSr2Mg

Crystalline NaSr2Mg at its relaxed geometry (PBE, Alexandria).

Lattice parameters (Å, degrees): 4.165 4.165 9.486 90.00 90.00 90.00
Fractional coordinates of all 4 atoms:
1 Na 0.500 0.500 0.500
2 Mg 0.500 0.500 0.000
3 Sr 0.000 0.000 0.779
4 Sr 0.000 0.000 0.221

Computed properties:
Electronic total energy (Ry per atom): -0.117
DOS at the Fermi energy (states/eV/cell): 3.00
Spin magnetization (μB per atom): 0.00

=====

Entry 3:
# Nb3SbPd

Crystalline Nb3SbPd at its relaxed geometry (PBE, Alexandria).

Lattice parameters (Å, degrees): 4.867 4.867 4.867 90.00 90.00 90.00
Fractional coordinates of all 5 atoms:
1 Sb 0.500 0.500 0.500
2 Pd 0.000 0.000 0.000
3 Nb 0.500 0.000 0.000
4 Nb 0.000 0.000 0.500
5 Nb 0.000 0.500 0.000

Computed properties:
Electronic total energy (Ry per atom): -0.506
Formation energy without anion corrections (meV/atom): 1019.8
DOS at the Fermi energy (states/eV/cell): 6.35
Distance to the lowest polymorph of the same formula (kJ/mol of atoms): 0.0
Spin magnetization (μB per atom): 0.00